{
  "formula": "Y2Sb2O7",
  "functional": "PBEsol",
  "state": "optimized geometry",
  "cell": [[7.451, 0.000, 0.000], [-3.725, 6.453, 0.000], [0.000, 0.000, 18.340]],
  "species": ["Y", "Y", "Y", "Y", "Y", "Y", "Y", "Y", "Y", "Y", "Y", "Y", "Sb", "Sb", "Sb", "Sb", "Sb", "Sb", "Sb", "Sb", "Sb", "Sb", "Sb", "Sb", "O", "O", "O", "O", "O", "O", "O", "O", "O", "O", "O", "O", "O", "O", "O", "O", "O", "O", "O", "O", "O", "O", "O", "O", "O", "O", "O", "O", "O", "O", "O", "O", "O", "O", "O", "O", "O", "O", "O", "O", "O", "O"],
  "frac_coords": [[0.000, 0.824, 0.167], [0.000, 0.836, 0.667], [0.164, 0.164, 0.000], [0.176, 0.176, 0.500], [0.182, 0.683, 0.512], [0.317, 0.499, 0.845], [0.499, 0.317, 0.155], [0.501, 0.818, 0.178], [0.683, 0.182, 0.488], [0.818, 0.501, 0.822], [0.824, 0.000, 0.833], [0.836, 0.000, 0.333], [0.000, 0.302, 0.167], [0.000, 0.327, 0.667], [0.165, 0.667, 0.001], [0.302, 0.000, 0.833], [0.327, 0.000, 0.333], [0.333, 0.498, 0.334], [0.498, 0.333, 0.666], [0.502, 0.835, 0.668], [0.667, 0.165, 0.999], [0.673, 0.673, 0.000], [0.698, 0.698, 0.500], [0.835, 0.502, 0.332], [0.005, 0.807, 0.029], [0.006, 0.335, 0.790], [0.016, 0.852, 0.785], [0.050, 0.432, 0.307], [0.107, 0.658, 0.894], [0.148, 0.164, 0.118], [0.164, 0.148, 0.882], [0.193, 0.198, 0.362], [0.198, 0.193, 0.638], [0.202, 0.682, 0.639], [0.229, 0.693, 0.106], [0.307, 0.537, 0.440], [0.318, 0.520, 0.973], [0.329, 0.994, 0.456], [0.335, 0.006, 0.210], [0.342, 0.449, 0.227], [0.382, 0.950, 0.974], [0.432, 0.050, 0.693], [0.449, 0.342, 0.773], [0.463, 0.771, 0.773], [0.480, 0.798, 0.306], [0.520, 0.318, 0.027], [0.537, 0.307, 0.560], [0.551, 0.893, 0.560], [0.568, 0.618, 0.640], [0.618, 0.568, 0.360], [0.658, 0.107, 0.106], [0.665, 0.671, 0.123], [0.671, 0.665, 0.877], [0.682, 0.202, 0.361], [0.693, 0.229, 0.894], [0.771, 0.463, 0.227], [0.798, 0.480, 0.694], [0.802, 0.995, 0.695], [0.807, 0.005, 0.971], [0.836, 0.984, 0.451], [0.852, 0.016, 0.215], [0.893, 0.551, 0.440], [0.950, 0.382, 0.026], [0.984, 0.836, 0.549], [0.994, 0.329, 0.544], [0.995, 0.802, 0.305]],
  "spacegroup": "No. 152",
  "magnetic_moment_mub_per_fu": 0.00,
  "e_tot_ev_per_atom": -7.834,
  "formation_energy_uncorrected_ev_per_atom": -2.42,
  "volume_a3_per_cell": 882
}